! Na2TlF | Alexandria via LeMat-Bulk | PBE | optimized geometry; values from VASP
&SYSTEM
  ibrav = 0, nat = 4, ntyp = 3
/
ATOMIC_SPECIES
Na 22.99 Na.upf
Tl 204.38 Tl.upf
F 19.00 F.upf
ATOMIC_POSITIONS crystal
Na 0.222 0.222 0.222
Na 0.778 0.778 0.778
Tl 0.000 0.000 0.000
F 0.500 0.500 0.500
CELL_PARAMETERS angstrom
1.734 1.001 8.092
-1.734 1.001 8.092
0.000 -2.003 8.092
! - mass density (g cm⁻³) = 5.3
! - ΔE_f (raw) (meV per atom) = -1340
! - E above lowest polymorph (eV per atom) = 0.000